VASP calculation (PBE) on a relaxed NiGeS3 crystal.

a b c (Å): 3.3650 6.2842 13.2788
angles (deg): 90.00 90.00 90.00
Closest atoms and distances in Å follow each position.
Atoms (fractional coordinates):
Ni: 0.0000 0.0000 0.0000  4 S 2.20
Ni: 0.0000 0.5000 0.5000  4 S 2.20
Ge: 0.5000 0.0000 0.4080  4 S 2.23-2.31
Ge: 0.5000 0.5000 0.9080  4 S 2.23-2.31
S: 0.0000 0.0000 0.2980  2 Ge 2.23
S: 0.0000 0.5000 0.7980  2 Ge 2.23
S: 0.5000 0.2215 0.0210  2 Ni 2.20, 1 Ge 2.31
S: 0.5000 0.2785 0.5210  2 Ni 2.20, 1 Ge 2.31
S: 0.5000 0.7215 0.5210  2 Ni 2.20, 1 Ge 2.31
S: 0.5000 0.7785 0.0210  2 Ni 2.20, 1 Ge 2.31

* space group: Amm2, No. 38
* total energy: -48.44 eV for the cell shown
* volume: 28.08 Å³ per atom